# Bi6Pd3Ru

An optimized crystal structure of Bi6Pd3Ru (PBE, Alexandria via LeMat-Bulk).

Results
**DFT total energy**: -4.91 eV/atom
**DOS at the Fermi energy**: 13.34 states/eV/cell

Cell lengths 7.3672, 6.7518, 12.1282 Å; angles 90.00, 125.76, 90.00 degrees
With the nearest neighbours (Å) after each atom.
Space group P2_1/c (No. 14)
Symmetry-distinct sites (fractional):
Bi 0.0871 0.0351 0.2573 (multiplicity 4)  1 Ru 2.74, 3 Pd 2.80-2.84
Bi 0.2544 0.1394 0.5915 (multiplicity 4)  1 Ru 2.78, 3 Pd 2.87-2.95
Bi 0.4100 0.6538 0.5776 (multiplicity 4)  1 Ru 2.74, 2 Pd 2.79-2.88
Pd 0.0000 0.0000 0.0000 (multiplicity 2)  6 Bi 2.79-2.87
Pd 0.3009 0.6763 0.2714 (multiplicity 4)  6 Bi 2.84-3.11, 1 Ru 3.14
Ru 0.5000 0.0000 0.5000 (multiplicity 2)  6 Bi 2.74-2.78

# Bi3PdRu

An optimized crystal structure of Bi3PdRu (PBE, Alexandria via LeMat-Bulk).

Results
**DOS at the Fermi energy**: 3.32 states/eV/cell
**Relative energy among the computed polymorphs**: 0.000 kcal/mol of atoms

Cell lengths 5.2261, 5.2261, 5.2261 Å; angles 90.00, 90.00, 90.00 degrees
With the nearest neighbours (Å) after each atom.
Space group Pm-3m (No. 221)
Symmetry-distinct sites (fractional):
Bi 0.0000 0.0000 0.5000 (multiplicity 3)  2 Ru 2.61
Pd 0.5000 0.5000 0.5000 (multiplicity 1)  12 Bi 3.70
Ru 0.0000 0.0000 0.0000 (multiplicity 1)  6 Bi 2.61

# ScBiPdRu2

An optimized crystal structure of ScBiPdRu2 (PBE, Alexandria via LeMat-Bulk).

Results
**DFT total energy**: -5.91 eV/atom
**DOS at the Fermi energy**: 6.94 states/eV/cell

Cell lengths 4.8650, 4.8650, 4.7411 Å; angles 90.00, 90.00, 90.00 degrees
With the nearest neighbours (Å) after each atom.
Space group P4/mmm (No. 123)
Symmetry-distinct sites (fractional):
Sc 0.0000 0.0000 0.0000 (multiplicity 1)  2 Pd 2.37
Bi 0.5000 0.5000 0.0000 (multiplicity 1)  8 Ru 3.40, 4 Sc 3.44
Pd 0.0000 0.0000 0.5000 (multiplicity 1)  2 Sc 2.37, 4 Ru 2.43
Ru 0.0000 0.5000 0.5000 (multiplicity 2)  2 Pd 2.43

# BiPdRuSe2

An optimized crystal structure of BiPdRuSe2 (PBE, Alexandria via LeMat-Bulk).

Results
**DOS at the Fermi energy**: 7.08 states/eV/cell
**Formation energy (no corrections)**: 944.4 meV per atom

Cell lengths 4.8670, 4.8670, 5.3758 Å; angles 90.00, 90.00, 90.00 degrees
With the nearest neighbours (Å) after each atom.
Space group P4/mmm (No. 123)
Symmetry-distinct sites (fractional):
Bi 0.0000 0.0000 0.0000 (multiplicity 1)  2 Pd 2.69
Pd 0.0000 0.0000 0.5000 (multiplicity 1)  4 Se 2.43, 2 Bi 2.69
Ru 0.5000 0.5000 0.0000 (multiplicity 1)  4 Bi 3.44, 8 Se 3.63
Se 0.0000 0.5000 0.5000 (multiplicity 2)  2 Pd 2.43

# TcBiPd2Ru

An optimized crystal structure of TcBiPd2Ru (PBE, Alexandria via LeMat-Bulk).

Results
**DFT total energy**: -5.33 eV/atom
**DOS at the Fermi energy**: 6.95 states/eV/cell

Cell lengths 4.8367, 4.8367, 5.0718 Å; angles 90.00, 90.00, 90.00 degrees
With the nearest neighbours (Å) after each atom.
Space group P4/mmm (No. 123)
Symmetry-distinct sites (fractional):
Tc 0.0000 0.0000 0.0000 (multiplicity 1)  4 Bi 3.42, 8 Pd 3.50
Bi 0.5000 0.5000 0.0000 (multiplicity 1)  2 Ru 2.54
Pd 0.0000 0.5000 0.5000 (multiplicity 2)  2 Ru 2.42
Ru 0.5000 0.5000 0.5000 (multiplicity 1)  4 Pd 2.42, 2 Bi 2.54

# ThBiPdRu

An optimized crystal structure of ThBiPdRu (PBE, Alexandria via LeMat-Bulk).

Results
**DFT total energy**: -6.75 eV/atom
**DOS at the Fermi energy**: 20.76 states/eV/cell

Cell lengths 7.0312, 7.0312, 7.0312 Å; angles 90.00, 90.00, 90.00 degrees
With the nearest neighbours (Å) after each atom.
Space group F-43m (No. 216)
Symmetry-distinct sites (fractional):
Th 0.0000 0.0000 0.0000 (multiplicity 4)  4 Pd 3.04, 4 Ru 3.04
Bi 0.0000 0.0000 0.5000 (multiplicity 4)  4 Ru 3.04, 4 Pd 3.04
Pd 0.2500 0.2500 0.7500 (multiplicity 4)  4 Th 3.04, 4 Bi 3.04
Ru 0.2500 0.2500 0.2500 (multiplicity 4)  4 Th 3.04, 4 Bi 3.04

# Ti2BiPdRu

An optimized crystal structure of Ti2BiPdRu (PBE, Alexandria via LeMat-Bulk).

Results
**DFT total energy**: -5.27 eV/atom
**DOS at the Fermi energy**: 9.46 states/eV/cell

Cell lengths 5.0635, 5.0635, 4.8437 Å; angles 90.00, 90.00, 90.00 degrees
With the nearest neighbours (Å) after each atom.
Space group P4/mmm (No. 123)
Symmetry-distinct sites (fractional):
Ti 0.0000 0.5000 0.0000 (multiplicity 2)  2 Bi 2.53
Bi 0.0000 0.0000 0.0000 (multiplicity 1)  2 Pd 2.42, 4 Ti 2.53
Pd 0.0000 0.0000 0.5000 (multiplicity 1)  2 Bi 2.42
Ru 0.5000 0.5000 0.5000 (multiplicity 1)  8 Ti 3.50, 4 Pd 3.58

# TlBiPd2Ru

An optimized crystal structure of TlBiPd2Ru (PBE, Alexandria via LeMat-Bulk).

Results
**DFT total energy**: -4.28 eV/atom
**DOS at the Fermi energy**: 2.35 states/eV/cell

Cell lengths 5.0959, 5.0959, 5.1563 Å; angles 90.00, 90.00, 90.00 degrees
With the nearest neighbours (Å) after each atom.
Space group P4/mmm (No. 123)
Symmetry-distinct sites (fractional):
Tl 0.0000 0.0000 0.0000 (multiplicity 1)  4 Ru 3.60, 8 Pd 3.62
Bi 0.5000 0.5000 0.5000 (multiplicity 1)  4 Pd 2.55, 2 Ru 2.58
Pd 0.0000 0.5000 0.5000 (multiplicity 2)  2 Bi 2.55
Ru 0.5000 0.5000 0.0000 (multiplicity 1)  2 Bi 2.58

# BiPdS2

An optimized crystal structure of BiPdS2 (PBE, Alexandria via LeMat-Bulk).

Results
**DOS at the Fermi energy**: 12.47 states/eV/cell
**Formation energy (no corrections)**: -79.3 meV per atom

Cell lengths 5.8483, 5.8483, 12.1296 Å; angles 90.00, 90.00, 90.00 degrees
With the nearest neighbours (Å) after each atom.
Space group I-42d (No. 122)
Symmetry-distinct sites (fractional):
Bi 0.0000 0.0000 0.0000 (multiplicity 4)  4 S 2.76
Pd 0.0000 0.0000 0.5000 (multiplicity 4)  4 S 2.40
S 0.1963 0.2500 0.6250 (multiplicity 8)  2 Pd 2.40

# BiPd8S2

An optimized crystal structure of BiPd8S2 (PBE, Alexandria via LeMat-Bulk).

Results
**DOS at the Fermi energy**: 11.50 states/eV/cell
**Formation energy (no corrections)**: -136.1 meV per atom

Cell lengths 14.6611, 5.4939, 4.8307 Å; angles 90.00, 108.81, 90.00 degrees
With the nearest neighbours (Å) after each atom.
Space group C2/m (No. 12)
Symmetry-distinct sites (fractional):
Bi 0.0000 0.0000 0.0000 (multiplicity 2)  14 Pd 2.97-3.11
Pd 0.0978 0.2516 0.5986 (multiplicity 8)  1 S 2.33
Pd 0.0996 0.5000 0.1005 (multiplicity 4)  1 S 2.32
Pd 0.2142 0.0000 0.2143 (multiplicity 4)  2 S 2.43
S 0.2332 0.0000 0.7327 (multiplicity 4)  5 Pd 2.32-2.43

# Bi3PdS

An optimized crystal structure of Bi3PdS (PBE, Alexandria via LeMat-Bulk).

Results
**DOS at the Fermi energy**: 7.78 states/eV/cell
**Relative energy among the computed polymorphs**: 0.000 kcal/mol of atoms
**Formation energy (no corrections)**: 492.7 meV per atom

Cell lengths 5.3622, 5.3622, 5.3622 Å; angles 90.00, 90.00, 90.00 degrees
With the nearest neighbours (Å) after each atom.
Space group Pm-3m (No. 221)
Symmetry-distinct sites (fractional):
Bi 0.0000 0.0000 0.5000 (multiplicity 3)  2 Pd 2.68
Pd 0.0000 0.0000 0.0000 (multiplicity 1)  6 Bi 2.68
S 0.5000 0.5000 0.5000 (multiplicity 1)  12 Bi 3.79

# Bi2PdS

An optimized crystal structure of Bi2PdS (PBE, Alexandria via LeMat-Bulk).

Results
**DOS at the Fermi energy**: 1.81 states/eV/cell
**Formation energy (no corrections)**: 2.7 meV per atom

Cell lengths 6.2232, 6.2232, 12.9928 Å; angles 90.00, 90.00, 90.00 degrees
With the nearest neighbours (Å) after each atom.
Space group I-42d (No. 122)
Symmetry-distinct sites (fractional):
Bi 0.2302 0.2500 0.1250 (multiplicity 8)  2 Pd 2.67, 2 S 2.81
Pd 0.0000 0.0000 0.0000 (multiplicity 4)  4 Bi 2.67
S 0.0000 0.0000 0.5000 (multiplicity 4)  4 Bi 2.81